Here is a crystal of BaMg3 relaxed with PBEsol from the Alexandria database. Energies are from meta-GGA SCAN. Values from VASP.

Structure (Quantum ESPRESSO input):
```
&SYSTEM
  ibrav = 0, nat = 4, ntyp = 2
/
ATOMIC_SPECIES
Ba 137.33 Ba.upf
Mg 24.30 Mg.upf
ATOMIC_POSITIONS angstrom
Ba 0.0000 0.0000 0.1006
Mg 0.0000 2.6310 2.5460
Mg 1.7243 0.0000 3.4852
Mg 1.7243 2.6310 5.1647
CELL_PARAMETERS angstrom
3.4487 0.0000 0.0000
0.0000 5.2621 0.0000
0.0000 0.0000 6.7780
```

Here is a crystal of BaMg3 relaxed with PBEsol from the Alexandria database. Energies are from meta-GGA SCAN. Values from VASP.

Structure (Quantum ESPRESSO input):
```
&SYSTEM
  ibrav = 0, nat = 4, ntyp = 2
/
ATOMIC_SPECIES
Ba 137.33 Ba.upf
Mg 24.30 Mg.upf
ATOMIC_POSITIONS angstrom
Ba 0.0000 0.0000 0.0000
Mg 1.7322 1.0001 3.1321
Mg 3.4644 2.0001 5.6255
Mg 5.1965 3.0002 8.1189
CELL_PARAMETERS angstrom
3.4644 0.0000 0.0000
1.7322 3.0002 0.0000
1.7322 1.0001 11.2510
```

Here is a crystal of Ba5Mg4 relaxed with PBEsol from the Alexandria database. Energies are from meta-GGA SCAN. Values from VASP.

Structure (Quantum ESPRESSO input):
```
&SYSTEM
  ibrav = 0, nat = 18, ntyp = 2
/
ATOMIC_SPECIES
Mg 24.30 Mg.upf
Ba 137.33 Ba.upf
ATOMIC_POSITIONS angstrom
Mg 0.0000 0.0000 0.0000
Mg -0.9116 0.9233 -3.4994
Mg -2.0202 5.2241 -4.0661
Mg -4.4120 -1.3149 -5.1683
Mg -7.5844 3.3007 -3.1240
Mg -1.5534 6.9172 0.2395
Mg -5.5752 -4.0782 -1.6139
Mg -4.1531 1.6010 -0.4859
Ba -2.6037 8.6561 -3.0086
Ba -7.1335 -3.7284 -5.0961
Ba -4.2794 2.2823 -4.2537
Ba -0.9699 3.4853 -0.8180
Ba -2.8536 -1.6647 -1.6861
Ba -7.4581 2.6194 0.6438
Ba -3.8882 4.4500 2.1870
Ba -6.9377 -0.4716 -2.2976
Ba -6.0260 -1.3949 1.2018
Ba -4.7998 5.3733 -1.3124
CELL_PARAMETERS angstrom
-1.8233 1.8466 -6.9988
-8.1639 -7.2397 0.2166
-1.7503 10.2948 3.1722
```

Here is a crystal of BaMg3 relaxed with PBEsol from the Alexandria database. Energies are from meta-GGA SCAN. Values from VASP.

Structure (Quantum ESPRESSO input):
```
&SYSTEM
  ibrav = 0, nat = 4, ntyp = 2
/
ATOMIC_SPECIES
Ba 137.33 Ba.upf
Mg 24.30 Mg.upf
ATOMIC_POSITIONS angstrom
Ba 0.0000 0.0000 0.0000
Mg 0.0000 0.0000 4.3102
Mg 1.8656 1.8656 2.6269
Mg 1.8656 1.8656 5.9935
CELL_PARAMETERS angstrom
3.7312 0.0000 0.0000
0.0000 3.7312 0.0000
0.0000 0.0000 8.6204
```

| no. | raw total energy (eV per atom) | calculated formation energy (eV per atom) | M_tot (μB/cell) |
| --- | --- | --- | --- |
| 1 | -13.514 | 0.104 | 0.05 |
| 2 | -13.414 | 0.204 | 0.32 |
| 3 | -24.135 | 0.048 | 0.05 |
| 4 | -13.600 | 0.018 | 0.21 |